[1]
# Nd2Y2Zn GGA-PBE relaxed
data_Nd2Y2Zn
_chemical_formula_sum 'Nd8 Y8 Zn4'
_cell_length_a 8.328
_cell_length_b 9.652
_cell_length_c 8.244
_cell_angle_alpha 90.00
_cell_angle_beta 115.66
_cell_angle_gamma 90.00
_symmetry_space_group_name_H-M 'C 1 2/m 1'
_symmetry_Int_Tables_number 12
_symmetry_space_group_name_Hall '-C 2y'
loop_
_atom_site_label
_atom_site_fract_x
_atom_site_fract_y
_atom_site_fract_z
Nd1 0.164 0.000 0.413
Nd2 0.228 0.500 0.126
Y1 0.071 0.311 0.735
Zn1 0.000 0.144 0.000
# - energy above the most stable polymorph in this dataset (kJ/mol of formula units) = 47
# - formation energy from the elements (meV per atom) = -38

[2]
# SrCoSi2 GGA-PBE relaxed
data_SrCoSi2
_chemical_formula_sum 'Sr2 Co2 Si4'
_cell_length_a 5.584
_cell_length_b 9.126
_cell_length_c 2.841
_cell_angle_alpha 90.00
_cell_angle_beta 90.00
_cell_angle_gamma 90.00
_symmetry_space_group_name_H-M 'C m m m'
_symmetry_Int_Tables_number 65
_symmetry_space_group_name_Hall '-C 2 2'
loop_
_atom_site_label
_atom_site_fract_x
_atom_site_fract_y
_atom_site_fract_z
Sr1 0.000 0.000 0.000
Co1 0.000 0.500 0.000
Si1 0.250 0.250 0.500
# - formation energy (no corrections) (eV per atom) = 0.51

| no. | total energy (eV per atom) |
| --- | --- |
| 1 | -4.7856 |
| 2 | -4.3989 |